Record 1
First-principles (GGA-PBE) data for a relaxed structure of InMoPbS2, as listed in Alexandria.

Cell lengths 4.6442, 5.7817, 4.6442 Å; angles 90.00, 90.00, 90.00 degrees
Closest atoms and distances in Å follow each position.
Positions (direct):
Mo1 0.0000 0.0000 0.0000  4 S 2.32
In1 0.5000 0.5000 0.5000  4 Pb 3.28
S1 0.5000 0.0000 0.0000  2 Mo 2.32
S2 0.0000 0.0000 0.5000  2 Mo 2.32
Pb1 0.0000 0.5000 0.0000  2 Mo 2.89

Calculated values
- ΔE_f (raw) (meV/atom) = -6
- magnetization (μB per cell) = 0.000
- D(E_F) (states/eV/atom) = 0.7117

***

Record 2
First-principles (GGA-PBE) data for a relaxed structure of CrNiOs3, as listed in Alexandria.

Cell lengths 4.7374, 6.9748, 8.5280 Å; angles 90.00, 76.50, 90.02 degrees
Closest atoms and distances in Å follow each position.
Positions (direct):
Os1 0.5813 0.8203 0.9782  2 Ni 2.50-2.72, 5 Os 2.59-2.66, 1 Cr 2.65
Os2 0.4738 0.3484 0.3960  3 Cr 2.51-2.55, 1 Ni 2.55, 3 Os 2.59-2.81
Os3 0.9734 0.1519 0.8958  3 Cr 2.51-2.55, 1 Ni 2.55, 2 Os 2.59-2.60
Os4 0.0810 0.6798 0.4781  2 Ni 2.50-2.72, 5 Os 2.59-2.66, 1 Cr 2.65
Os5 0.7211 0.4769 0.0712  2 Cr 2.37-2.53, 2 Ni 2.51-2.63, 1 Os 2.61
Os6 0.4187 0.1797 0.0218  2 Ni 2.50-2.72, 5 Os 2.59-2.66, 1 Cr 2.65
Os7 0.7788 0.9769 0.4288  2 Cr 2.37-2.53, 2 Ni 2.51-2.63, 1 Os 2.61
Os8 0.9190 0.3202 0.5219  2 Ni 2.50-2.72, 5 Os 2.59-2.66, 1 Cr 2.65
Os9 0.5262 0.6516 0.6040  3 Cr 2.51-2.55, 1 Ni 2.55, 3 Os 2.59-2.81
Os10 0.0266 0.8481 0.1042  3 Cr 2.51-2.55, 1 Ni 2.55, 2 Os 2.59-2.60
Os11 0.2789 0.5231 0.9288  2 Cr 2.37-2.53, 2 Ni 2.51-2.63, 1 Os 2.61
Os12 0.2212 0.0231 0.5712  2 Cr 2.37-2.53, 2 Ni 2.51-2.63, 1 Os 2.61
Ni1 0.1362 0.4817 0.2289  1 Cr 2.45, 5 Os 2.50-2.72
Ni2 0.6363 0.0179 0.7289  1 Cr 2.45, 5 Os 2.50-2.72
Ni3 0.8638 0.5183 0.7711  1 Cr 2.45, 5 Os 2.50-2.72
Ni4 0.3637 0.9821 0.2711  1 Cr 2.45, 5 Os 2.50-2.72
Cr1 0.6193 0.6827 0.2985  6 Os 2.37-2.65, 1 Ni 2.45
Cr2 0.3807 0.3173 0.7015  6 Os 2.37-2.65, 1 Ni 2.45
Cr3 0.1196 0.8175 0.7987  6 Os 2.37-2.65, 1 Ni 2.45
Cr4 0.8804 0.1825 0.2013  6 Os 2.37-2.65, 1 Ni 2.45

Calculated values
- polymorph energy (0 for the lowest one) (eV/atom) = 0.000
- magnetization (μB per cell) = 0.000
- D(E_F) (states/eV/atom) = 0.7839

***

Record 3
First-principles (GGA-PBE) data for a relaxed structure of Fe3NiN, as listed in Alexandria.

Cell lengths 3.7738, 3.7738, 3.7738 Å; angles 90.00, 90.00, 90.00 degrees
Closest atoms and distances in Å follow each position.
Positions (direct):
N1 0.0000 0.0000 0.0000  6 Fe 1.89
Fe1 0.0000 0.0000 0.5000  2 N 1.89
Fe2 0.5000 0.0000 0.0000  2 N 1.89
Fe3 0.0000 0.5000 0.0000  2 N 1.89
Ni1 0.5000 0.5000 0.5000  12 Fe 2.67

Calculated values
- ΔE_f (raw) (meV/atom) = -57
- magnetization (μB per cell) = 8.004
- D(E_F) (states/eV/atom) = 0.9135